A geometry-optimized AlGe2Cl structure. Source: Alexandria via LeMat-Bulk, functional GGA-PBEsol.

E ... -3.793 eV/atom
Crystal system ... cubic

a b c (Å): 4.7085 4.7085 4.7085
angles (deg): 60.00 60.00 60.00
With the nearest neighbours (Å) after each atom.
Element x y z (fractional)
Ge1 0.2500 0.2500 0.2500  4 Cl 2.88, 4 Al 2.88
Ge2 0.7500 0.7500 0.7500  4 Al 2.88, 4 Cl 2.88
Al1 0.0000 0.0000 0.0000  8 Ge 2.88
Cl1 0.5000 0.5000 0.5000  8 Ge 2.88

=====

A geometry-optimized Al2GePtCl structure. Source: Alexandria via LeMat-Bulk, functional GGA-PBEsol.

E ... -4.711 eV/atom
Crystal system ... tetragonal

a b c (Å): 4.7832 4.7832 4.8032
angles (deg): 90.00 90.00 90.00
With the nearest neighbours (Å) after each atom.
Element x y z (fractional)
Ge1 0.0000 0.0000 0.5000  2 Pt 2.40
Al1 0.0000 0.5000 0.0000  2 Pt 2.39
Al2 0.5000 0.0000 0.0000  2 Pt 2.39
Pt1 0.0000 0.0000 0.0000  4 Al 2.39, 2 Ge 2.40
Cl1 0.5000 0.5000 0.5000  4 Ge 3.38, 8 Al 3.39

=====

A geometry-optimized AlHCl3 structure. Source: Alexandria via LeMat-Bulk, functional GGA-PBEsol.

E ... -2.598 eV/atom
Crystal system ... cubic

a b c (Å): 4.2703 4.2703 4.2703
angles (deg): 90.00 90.00 90.00
With the nearest neighbours (Å) after each atom.
Element x y z (fractional)
H1 0.0000 0.0000 0.0000  6 Cl 2.14
Al1 0.5000 0.5000 0.5000  12 Cl 3.02
Cl1 0.0000 0.5000 0.0000  2 H 2.14
Cl2 0.0000 0.0000 0.5000  2 H 2.14
Cl3 0.5000 0.0000 0.0000  2 H 2.14